# 1
# Pr8Mg2Ga (GGA-PBE, optimized geometry)
data_Pr8Mg2Ga
_chemical_formula_sum 'Pr8 Mg2 Ga1'
_symmetry_space_group_name_H-M 'P 1'
_symmetry_Int_Tables_number 1
_cell_length_a 5.4473
_cell_length_b 7.6425
_cell_length_c 9.6019
_cell_angle_alpha 110.92
_cell_angle_beta 106.48
_cell_angle_gamma 90.00
loop_
_symmetry_equiv_pos_as_xyz
'x,y,z'
loop_
_atom_site_label
_atom_site_type_symbol
_atom_site_fract_x
_atom_site_fract_y
_atom_site_fract_z
_atom_site_occupancy
Pr1 Pr 0.4082 0.5586 0.8164 1
Pr2 Pr 0.6602 0.9480 0.3204 1
Pr3 Pr 0.8036 0.7172 0.6072 1
Pr4 Pr 0.9847 0.2205 0.9695 1
Pr5 Pr 0.1964 0.2828 0.3928 1
Pr6 Pr 0.3398 0.0520 0.6796 1
Pr7 Pr 0.5918 0.4414 0.1836 1
Pr8 Pr 0.0153 0.7795 0.0305 1
Mg1 Mg 0.8225 0.3113 0.6450 1
Mg2 Mg 0.1775 0.6887 0.3550 1
Ga1 Ga 0.5000 0.0000 0.0000 1
# - Uncorrected energy: -4.103 eV/atom
# - ΔE_f: -0.68 eV per formula unit
# - Space-group type: No. 12

---

# 2
# KRu2Br (GGA-PBE, optimized geometry)
data_KRu2Br
_chemical_formula_sum 'K1 Ru2 Br1'
_symmetry_space_group_name_H-M 'P 1'
_symmetry_Int_Tables_number 1
_cell_length_a 4.6639
_cell_length_b 6.9962
_cell_length_c 3.1285
_cell_angle_alpha 77.02
_cell_angle_beta 90.17
_cell_angle_gamma 109.51
loop_
_symmetry_equiv_pos_as_xyz
'x,y,z'
loop_
_atom_site_label
_atom_site_type_symbol
_atom_site_fract_x
_atom_site_fract_y
_atom_site_fract_z
_atom_site_occupancy
Br1 Br 0.0000 0.5000 0.5000 1
K1 K 0.5000 0.5000 0.0000 1
Ru1 Ru 0.0000 0.0000 0.0000 1
Ru2 Ru 0.5000 0.0000 0.5000 1
# - Uncorrected energy: -4.387 eV/atom
# - Formation energy (no corrections): 0.944 eV per atom
# - Space-group type: No. 12
# - Energy above the most stable polymorph in this dataset: 2.52 eV/f.u.